This record from Alexandria describes TlFeCoRe2 after structural relaxation. The functional is PBE-GGA.

The calculation puts the formation enthalpy at 0 K at 709 kJ/mol of formula units. The value obtained for the uncorrected energy is -35.49 eV for the cell shown.

The structure belongs to space group P4/mmm (No. 123); the cell edges are 4.4633, 4.4633 and 4.4030 Å and the angles 90.00°, 90.00° and 90.00°. The distinct sites, in fractional coordinates, are Tl at (0.0000, 0.0000, 0.0000), Fe at (0.5000, 0.5000, 0.5000), Co at (0.5000, 0.5000, 0.0000) and Re at (0.0000, 0.5000, 0.5000).